Below is a relaxed Ba2YCr crystal, with properties calculated at the GGA-PBE level.

## Properties
density of states at the Fermi level	1.33	states/eV per atom
offset from the most stable computed form	83	kJ/mol of formula units

Cell lengths 8.4062, 8.4062, 8.4062 Å; angles 90.00, 90.00, 90.00 degrees
Space group F-43m (No. 216)
One atom of each set of equivalent atoms:
Ba 0.0000 0.0000 0.0000 [4 per cell]
Ba 0.2500 0.2500 0.2500 [4 per cell]
Y 0.2500 0.2500 0.7500 [4 per cell]
Cr 0.0000 0.0000 0.5000 [4 per cell]

Below is a relaxed CePuAs crystal, with properties calculated at the GGA-PBE level.

## Properties
density of states at the Fermi level	1.81	states/eV per atom

Cell lengths 3.9391, 3.9391, 9.0333 Å; angles 90.00, 90.00, 90.00 degrees
Space group I4mm (No. 107)
One atom of each set of equivalent atoms:
Ce 0.0000 0.0000 0.0000 [2 per cell]
Pu 0.0000 0.0000 0.3024 [2 per cell]
As 0.0000 0.0000 0.6520 [2 per cell]

Below is a relaxed ErCuSnRu crystal, with properties calculated at the GGA-PBE level.

## Properties
density of states at the Fermi level	0.63	states/eV per atom

Cell lengths 6.6117, 6.6117, 6.6117 Å; angles 90.00, 90.00, 90.00 degrees
Space group F-43m (No. 216)
One atom of each set of equivalent atoms:
Er 0.0000 0.0000 0.0000 [4 per cell]
Cu 0.2500 0.2500 0.7500 [4 per cell]
Sn 0.0000 0.0000 0.5000 [4 per cell]
Ru 0.2500 0.2500 0.2500 [4 per cell]

Below is a relaxed RbHfMg14 crystal, with properties calculated at the GGA-PBE level.

## Properties
density of states at the Fermi level	0.59	states/eV per atom
offset from the most stable computed form	0	kJ/mol of formula units

Cell lengths 6.8127, 6.8127, 8.4550 Å; angles 90.00, 90.00, 90.00 degrees
Space group P4/mmm (No. 123)
One atom of each set of equivalent atoms:
Rb 0.0000 0.0000 0.0000 [1 per cell]
Hf 0.5000 0.5000 0.0000 [1 per cell]
Mg 0.0000 0.0000 0.5000 [1 per cell]
Mg 0.0000 0.5000 0.0000 [2 per cell]
Mg 0.0000 0.5000 0.5000 [2 per cell]
Mg 0.2674 0.2674 0.2612 [8 per cell]
Mg 0.5000 0.5000 0.5000 [1 per cell]

Below is a relaxed Be2TlBr crystal, with properties calculated at the GGA-PBE level.

## Properties
raw formation energy	0.33	eV/atom
density of states at the Fermi level	0.17	states/eV per atom
offset from the most stable computed form	0	kJ/mol of formula units

Cell lengths 15.3653, 3.2287, 4.1045 Å; angles 90.00, 90.13, 90.00 degrees
Space group Cm (No. 8)
One atom of each set of equivalent atoms:
Be 0.0000 0.0000 0.0000 [2 per cell]
Be 0.1139 0.5000 0.0006 [2 per cell]
Tl 0.1345 0.0000 0.5010 [2 per cell]
Br 0.4035 0.0000 0.9993 [2 per cell]

Below is a relaxed Be2MoAs crystal, with properties calculated at the GGA-PBE level.

## Properties
density of states at the Fermi level	0.37	states/eV per atom

Cell lengths 3.4599, 3.6251, 7.9216 Å; angles 90.00, 90.00, 90.00 degrees
Space group Immm (No. 71)
One atom of each set of equivalent atoms:
Be 0.0000 0.0000 0.2496 [4 per cell]
Mo 0.0000 0.5000 0.0000 [2 per cell]
As 0.0000 0.5000 0.5000 [2 per cell]

Number 1: E -70.0 eV for the cell shown, calculated density 4.65 g cm⁻³. Number 2: E -54.4 eV for the cell shown, calculated density 10.88 g cm⁻³. Number 3: E -92.4 eV for the cell shown, calculated density 10.36 g cm⁻³. Number 4: E -31.0 eV for the cell shown, calculated density 2.56 g cm⁻³. Number 5: E -20.3 eV for the cell shown, calculated density 4.93 g cm⁻³. Number 6: E -44.7 eV for the cell shown, calculated density 6.31 g cm⁻³.